No. 1
Compound: Sm3SOF5
Source: the Alexandria database
Functional: SCAN
Structure: PBEsol geometry

Geometry as POSCAR:
```
Sm3SOF5
1.0
-0.8742 -3.5194 0.8612
7.9885 -2.9844 -4.0875
0.0169 2.2550 9.2330
Sm S O F
6 2 2 10
Cartesian
3.3250 -0.9434 -0.4803 Sm
6.9457 -1.9772 -1.0300 Sm
5.6141 -0.7740 2.5359 Sm
4.3339 -1.5168 6.2663 Sm
0.5509 -0.5148 6.5209 Sm
1.9306 -1.7309 2.9517 Sm
2.6437 0.5217 4.8157 S
4.9446 -3.0053 0.8029 S
3.4911 -0.4286 1.7923 O
4.9241 -1.7214 -2.0364 O
1.2719 1.5123 7.4716 F
0.9128 0.2787 2.0656 F
5.8074 -0.2724 4.7821 F
6.4027 -4.0453 -1.9671 F
6.5897 -2.7671 3.4462 F
1.7329 -2.2349 0.6914 F
7.6159 -1.5671 1.3267 F
4.1189 -2.0457 3.8863 F
2.5899 -0.7384 7.6771 F
-0.0625 -0.9202 4.2414 F
```

---

No. 2
Compound: SrSO2F
Source: the Alexandria database
Functional: SCAN
Structure: PBEsol geometry

Geometry as POSCAR:
```
SrSO2F
1.0
4.5669 0.0000 0.0000
0.0000 4.7682 0.0000
0.0000 0.0000 4.7682
Sr S O F
1 1 2 1
Cartesian
0.0000 0.0000 0.0000 Sr
2.2835 2.3841 2.3841 S
0.0000 0.0000 2.3841 O
0.0000 2.3841 0.0000 O
2.2835 0.0000 0.0000 F
```

---

No. 3
Compound: TcSO6F
Source: the Alexandria database
Functional: SCAN
Structure: PBEsol geometry

Geometry as POSCAR:
```
TcSO6F
1.0
-5.3281 2.3038 -4.1809
-5.0420 0.4331 6.6641
3.3077 8.1689 1.9716
Tc S O F
4 4 24 4
Cartesian
-6.7649 3.2521 1.5146 Tc
-6.1053 7.4220 3.8146 Tc
-0.2975 7.6538 2.9402 Tc
-0.9570 3.4839 0.6402 Tc
-4.0539 6.9484 -1.2311 S
-3.0085 3.9575 5.6858 S
-6.0331 2.8919 -1.7867 S
-1.0292 8.0140 6.2415 S
-5.1312 7.9875 5.0467 O
-0.5085 1.3908 1.1971 O
-6.4669 5.8364 4.2285 O
-2.5529 5.0272 6.5546 O
-6.5539 9.5151 3.2577 O
-4.5095 5.8786 -2.0998 O
-1.9312 2.9184 -0.5919 O
-3.8045 1.1186 1.2960 O
-0.5955 5.0695 0.2263 O
-3.2579 9.7873 3.1588 O
-3.7508 10.0400 0.0690 O
-1.9537 3.6029 1.9753 O
-5.1087 7.3030 2.4795 O
-2.8438 7.6312 -1.6627 O
-7.7807 3.3060 2.8394 O
-4.2186 3.2747 6.1174 O
-5.2803 3.7738 2.0720 O
-3.3116 0.8659 4.3857 O
-7.2916 5.3519 1.0611 O
-6.0734 3.6821 -0.5658 O
-1.7821 7.1321 2.3828 O
0.7183 7.5999 1.6154 O
0.2293 5.5540 3.3937 O
-0.9890 7.2238 5.0205 O
-2.3420 8.8422 6.1358 F
-3.6446 6.1978 0.0688 F
-3.4178 4.7081 4.3860 F
-4.7204 2.0636 -1.6811 F
```

---

No. 4
Compound: TeSOF2
Source: the Alexandria database
Functional: SCAN
Structure: PBEsol geometry

Geometry as POSCAR:
```
TeSOF2
1.0
3.3171 0.0000 0.0000
0.0000 4.7568 0.0000
0.0000 0.0000 4.7568
S Te O F
1 1 1 2
Cartesian
0.0000 0.0000 0.0000 S
1.6585 2.3784 2.3784 Te
1.6585 0.0000 0.0000 O
0.0000 0.0000 2.3784 F
0.0000 2.3784 0.0000 F
```

---

No. 5
Compound: TiSOF2
Source: the Alexandria database
Functional: SCAN
Structure: PBEsol geometry

Geometry as POSCAR:
```
TiSOF2
1.0
3.4025 0.0000 0.0000
0.0000 4.5509 0.0000
0.0000 0.0000 4.5509
S F O Ti
1 2 1 1
Cartesian
0.0000 0.0000 0.0000 S
0.0000 0.0000 2.2755 F
0.0000 2.2755 0.0000 F
1.7013 0.0000 0.0000 O
1.7013 2.2755 2.2755 Ti
```

---

No. 6
Compound: YSOF2
Source: the Alexandria database
Functional: SCAN
Structure: PBEsol geometry

Geometry as POSCAR:
```
YSOF2
1.0
4.3218 0.0000 0.0000
0.0000 4.3218 0.0000
0.0000 0.0000 4.4555
Y S O F
1 1 1 2
Cartesian
0.0000 0.0000 0.0000 Y
2.1609 2.1609 2.2277 S
0.0000 0.0000 2.2277 O
0.0000 2.1609 0.0000 F
2.1609 0.0000 0.0000 F
```

---

No. 7
Compound: Y3SOF5
Source: the Alexandria database
Functional: SCAN
Structure: PBEsol geometry

Geometry as POSCAR:
```
Y3SOF5
1.0
3.6216 0.0000 0.0000
0.0000 9.2556 0.0027
0.0000 -4.5855 8.1023
Y S O F
6 2 2 10
Cartesian
0.0000 3.2451 1.0809 Y
0.0000 6.7915 2.2006 Y
0.0000 3.8047 4.7407 Y
1.8108 1.4058 7.2678 Y
1.8108 -2.1466 5.7917 Y
1.8108 0.8910 3.2652 Y
0.0000 -0.0102 5.4079 S
1.8108 4.6793 2.7414 S
0.0000 2.2631 3.1352 O
0.0000 5.4669 0.4245 O
0.0000 -2.5868 7.1302 F
0.0000 -0.2104 2.2191 F
0.0000 2.8763 6.7964 F
1.8108 7.3864 0.9557 F
1.8108 4.8495 5.8084 F
1.8108 1.8198 1.2013 F
0.0000 6.2227 4.5901 F
1.8108 2.3972 5.0724 F
1.8108 -0.8765 7.7157 F
1.8108 -1.5678 3.5054 F
```

---

No. 8
Sb5O7F, PBEsol geometry, DFT SCAN; energy above the lowest structure with this stoichiometry = 17 meV per atom
1.0
4.0745 -0.0209 0.0082
1.9690 9.9484 0.7017
1.9896 4.6239 11.6300
Sb O F
10 14 2
Cartesian
3.9643 8.7680 5.3696 Sb
6.0005 9.4474 8.0073 Sb
3.9666 11.4346 11.5419 Sb
3.9748 10.4778 2.2834 Sb
4.0575 2.3101 4.0665 Sb
3.9755 12.2412 8.2733 Sb
4.0583 4.0736 10.0564 Sb
4.0665 3.1167 0.7979 Sb
2.0326 5.1039 4.3325 Sb
4.0688 5.7834 6.9702 Sb
6.0029 8.9860 5.9641 O
3.9662 9.6104 7.1988 O
3.9663 10.7304 9.5854 O
3.9760 10.4758 4.3322 O
6.0070 12.0630 11.2197 O
6.0118 11.4133 7.7902 O
4.0552 1.2957 2.0030 O
3.9779 13.2556 10.3368 O
2.0213 3.1381 4.5496 O
2.0261 2.4884 1.1201 O
4.0571 4.0755 8.0076 O
4.0667 3.8209 2.7544 O
4.0669 4.9409 5.1410 O
2.0302 5.5653 6.3757 O
6.0635 6.1391 11.0322 F
1.9696 8.4123 1.3076 F

---

No. 9
Sb5O7F, PBEsol geometry, DFT SCAN; energy above the lowest structure with this stoichiometry = 19 meV per atom
1.0
-3.9675 -3.0606 1.1561
3.4886 -3.9279 13.0110
-6.2429 7.5632 10.0353
Sb O F
20 28 4
Cartesian
-5.6765 1.8207 19.1579 Sb
-3.8339 2.5723 16.0340 Sb
-4.2351 -0.8266 17.0959 Sb
-2.1103 1.4824 19.0637 Sb
-7.7344 4.5002 9.4638 Sb
-9.1346 4.1836 12.8205 Sb
-0.4621 0.6111 10.2504 Sb
-2.7078 -0.3577 13.8535 Sb
-0.6859 -1.2487 17.2152 Sb
-7.5354 2.9666 16.3054 Sb
0.8135 -2.3919 7.8970 Sb
-6.0360 1.8234 6.9873 Sb
-4.0141 0.9324 10.3490 Sb
1.0125 -3.9255 14.7386 Sb
-6.2597 -0.0363 13.9520 Sb
2.4127 -3.6089 11.3819 Sb
-2.4867 1.4014 7.1065 Sb
-4.6116 -0.9077 5.1387 Sb
-2.8880 -1.9976 8.1685 Sb
-1.0453 -1.2460 5.0446 Sb
-5.7611 3.0996 17.4558 O
-3.7854 4.5851 16.7312 O
-6.2037 0.3331 15.8964 O
-3.9824 3.1743 19.6038 O
-4.8849 2.4594 22.2203 O
-3.3759 1.3691 13.0750 O
-2.2157 2.6108 17.3284 O
-4.1994 1.0805 17.9065 O
-6.0691 -0.0150 23.0428 O
-4.5602 -1.1053 13.8975 O
-4.5703 -0.0042 20.6087 O
-2.8241 0.2152 15.7452 O
-2.4863 -0.8217 18.3130 O
-0.4944 0.7535 17.8816 O
-6.2274 -0.1788 6.3208 O
-4.2356 1.3964 5.8894 O
-3.8978 0.3595 8.4573 O
-2.1515 0.5790 3.5938 O
-0.6528 0.5897 1.1596 O
-2.1617 1.6800 10.3049 O
-4.5062 -2.0361 6.8740 O
-2.5224 -0.5058 6.2959 O
-3.3460 -0.7944 11.1274 O
-1.8370 -1.8847 1.9822 O
-2.7395 -2.5996 4.5986 O
-0.5182 0.2416 8.3060 O
-0.9608 -2.5249 6.7466 O
-2.9364 -4.0104 7.4713 O
-2.7232 -3.0748 16.8260 F
-5.6052 4.2010 14.7601 F
-1.1166 -3.6263 9.4423 F
-3.9986 3.6496 7.3764 F

---

No. 10
SbO2F, PBEsol geometry, DFT SCAN; energy above the lowest structure with this stoichiometry = 0 meV per atom
1.0
5.0330 0.0090 -0.0149
-2.3775 4.4361 0.0149
-2.3623 -1.6045 4.5110
Sb O F
2 4 2
Cartesian
2.5298 2.8255 0.6745 Sb
2.7019 0.0805 2.9225 Sb
-0.7449 -0.2291 1.8743 O
1.8733 1.4022 1.7964 O
1.1841 -0.0333 4.1224 O
-1.3890 1.3242 4.0593 O
-0.7202 3.1037 1.8045 F
-4.1165 2.8015 4.0674 F

---

No. 11
SbO2F, PBEsol geometry, DFT SCAN; energy above the lowest structure with this stoichiometry = 13 meV per atom
1.0
4.9023 0.0000 0.0000
-2.4511 4.5617 -0.0096
0.0000 -2.7001 4.5302
Sb O F
2 4 2
Cartesian
-1.2256 0.9308 2.2603 Sb
1.2256 2.2808 -0.0048 Sb
-0.3718 -0.3641 3.4215 O
2.0794 0.8757 3.3642 O
0.3718 0.9859 1.1564 O
2.8229 2.2257 1.0991 O
2.9951 -0.6750 1.1325 F
1.9072 -2.0250 3.3976 F

---

No. 12
Compound: SbO2F2
Source: the Alexandria database
Functional: SCAN
Structure: PBEsol geometry

Geometry as POSCAR:
```
SbO2F2
1.0
3.9433 0.0000 0.0000
0.0000 4.1949 0.0000
0.0000 0.0000 4.1949
Sb O F
1 2 2
Cartesian
0.0000 0.0000 0.0000 Sb
1.9716 2.0975 2.0975 O
1.9716 0.0000 0.0000 O
0.0000 0.0000 2.0975 F
0.0000 2.0975 0.0000 F
```

---

No. 13
Sb5O7F, PBEsol geometry, DFT SCAN; energy above the lowest structure with this stoichiometry = 0 meV per atom
1.0
6.5501 0.0241 0.0000
-0.3153 11.6212 0.0000
0.0000 0.0000 12.4268
Sb O F
20 28 4
Cartesian
6.0720 1.2048 3.2000 Sb
5.7973 8.7931 3.1497 Sb
5.8287 5.1960 3.2564 Sb
4.7466 6.4531 12.0705 Sb
4.7209 10.4940 0.6497 Sb
4.6312 6.9738 6.8630 Sb
4.6056 11.0148 5.8571 Sb
3.8388 0.6506 9.4698 Sb
3.5548 8.6748 9.3631 Sb
3.5956 4.6419 9.4134 Sb
2.6392 7.0033 3.0134 Sb
2.6800 2.9705 3.0637 Sb
2.3960 10.9946 2.9570 Sb
1.6292 0.6304 6.5697 Sb
1.6035 4.6714 5.5637 Sb
1.5138 1.1512 11.7771 Sb
1.4882 5.1922 0.3563 Sb
0.4061 6.4492 9.1704 Sb
0.4374 2.8522 9.2771 Sb
0.1628 10.4405 9.2267 Sb
6.4517 0.5103 5.0640 O
6.1438 5.7530 7.5468 O
6.0216 11.1511 2.1192 O
5.4734 5.6599 10.2398 O
5.2987 8.1100 8.4236 O
5.0856 9.3215 4.9988 O
4.5767 10.4676 9.3705 O
4.7754 7.0003 3.1571 O
4.2666 8.1464 11.2122 O
4.0534 9.3579 2.2102 O
4.1941 0.1868 4.0264 O
3.3306 6.3167 8.3326 O
3.5237 0.0937 1.3334 O
3.2159 5.3364 11.2774 O
3.0189 6.3089 1.1494 O
2.7110 11.5516 11.0934 O
2.9042 5.3285 4.0942 O
2.0407 11.4585 8.4004 O
2.1813 2.2874 10.2166 O
1.9682 3.4988 1.2146 O
1.4594 4.6449 9.2697 O
1.6580 1.1777 3.0563 O
1.1492 2.3238 7.4280 O
0.9361 3.5353 4.0032 O
0.7613 5.9853 2.1870 O
0.2132 0.4941 10.3075 O
0.0910 5.8922 4.8800 O
-0.2169 11.1350 7.3628 O
0.0619 2.8896 11.5693 F
3.0555 2.9330 5.3559 F
3.1793 8.7122 7.0709 F
6.1729 8.7556 0.8575 F

---

No. 14
Sb5O7F, PBEsol geometry, DFT SCAN; energy above the lowest structure with this stoichiometry = 16 meV per atom
1.0
4.0743 0.0000 0.0000
2.0371 9.9623 0.7039
2.0371 4.6730 11.6126
Sb O F
10 14 2
Cartesian
4.0743 5.8229 6.9482 Sb
2.0371 5.1314 4.3141 Sb
4.0743 3.1492 0.7814 Sb
4.0743 4.1193 10.0379 Sb
4.0743 12.2880 8.2637 Sb
4.0743 2.3474 4.0528 Sb
4.0743 10.5161 2.2786 Sb
4.0743 11.4862 11.5351 Sb
6.1114 9.5039 8.0023 Sb
4.0743 8.8125 5.3683 Sb
2.0371 5.5963 6.3565 O
4.0743 4.9788 5.1194 O
4.0743 3.8551 2.7370 O
4.0743 4.1162 7.9888 O
2.0371 2.5114 1.1087 O
2.0371 3.1662 4.5364 O
4.0743 13.3059 10.3265 O
4.0743 1.3295 1.9900 O
6.1114 11.4691 7.7801 O
6.1114 12.1240 11.2078 O
4.0743 10.5192 4.3276 O
4.0743 10.7803 9.5795 O
4.0743 9.6566 7.1970 O
6.1114 9.0391 5.9599 O
2.0371 8.4187 1.3119 F
6.1114 6.2167 11.0046 F

---

No. 15
Compound: Sb2OF8
Source: the Alexandria database
Functional: SCAN
Structure: PBEsol geometry

Geometry as POSCAR:
```
Sb2OF8
1.0
-1.8972 2.1045 4.4169
-8.5907 -4.3727 -1.6067
7.8214 -9.1694 7.7284
Sb O F
8 4 32
Cartesian
-3.1217 -8.9666 4.5153 Sb
-7.9656 -3.3468 2.8236 Sb
-1.3889 -6.4762 8.3393 Sb
0.9697 -7.7012 9.9360 Sb
-3.6363 -3.7365 0.6027 Sb
-1.2777 -4.9614 2.1995 Sb
5.2990 -8.0909 7.7151 Sb
0.4552 -2.4711 6.0234 Sb
-1.1338 -9.1714 4.5306 O
-6.5474 -2.9195 4.1654 O
3.8808 -8.5181 6.3733 O
-1.5328 -2.2663 6.0081 O
5.6503 -6.6378 6.2986 F
-5.0351 -7.1576 7.0777 F
-3.0927 -7.0902 4.3344 F
-2.9314 -8.9294 6.3931 F
-1.9271 -11.6696 7.1164 F
0.2738 -0.4272 5.8468 F
-7.2946 -4.4043 -0.6305 F
-7.5101 -1.9434 1.6500 F
-6.6714 -4.5340 2.1314 F
-6.2840 -6.5899 4.2910 F
-0.6073 -8.3489 8.7316 F
-1.1864 -6.7332 6.5055 F
2.2262 -11.0031 6.8100 F
1.1870 -8.6378 5.8862 F
-3.3633 -5.0450 2.1791 F
0.5432 -6.7111 4.0421 F
-4.6772 -2.6141 1.6640 F
2.0106 -8.8235 8.8748 F
-3.2098 -4.7266 6.4966 F
0.6967 -6.3927 8.3596 F
-3.8536 -2.7998 4.6525 F
-4.8927 -0.4346 3.7287 F
-1.4802 -4.7045 4.0332 F
-2.0593 -3.0888 1.8071 F
3.6174 -4.8478 6.2477 F
4.0048 -6.9036 8.4073 F
4.8435 -9.4943 8.8887 F
4.6280 -7.0333 11.1692 F
-0.7395 0.2319 3.4223 F
0.2649 -2.5083 4.1456 F
0.4261 -4.3474 6.2043 F
2.3685 -4.2801 3.4610 F
```

---

For the records above, the corresponding ΔE_f (raw) values read -4.040, -0.530, -1.489, -0.207, -0.602, -2.262, -4.068, -1.416, -1.414, -1.666, -1.653, -0.963, -1.432, -1.416, -2.134 eV/atom.
For the records above, the corresponding V values read 14.6, 20.8, 14.9, 15.0, 14.1, 16.6, 13.6, 17.6, 17.4, 12.6, 12.6, 13.9, 18.2, 17.6, 16.0 Å³ per atom.
For the records above, the corresponding density of states at the Fermi level values read 0.00, 4.04, 0.00, 2.25, 2.91, 0.34, 0.00, 0.00, 0.00, 0.00, 0.00, 0.95, 0.00, 0.00, 0.00 states/eV/cell.